A) First-principles (PBE) data for crystalline Tb2YSc at its relaxed geometry, as listed in Alexandria via LeMat-Bulk.

It has space group R-3m (No. 166, hexagonal axes), with a = 3.5019 Å, b = 3.5019 Å, c = 33.8819 Å, α = 90.00°, β = 90.00° and γ = 120.00°. The inequivalent atoms are Tb at (0.0000, 0.0000, 0.2466), Y at (0.0000, 0.0000, 0.0000) and Sc at (0.0000, 0.0000, 0.5000).



B) First-principles (PBE) data for crystalline Tb2YSc at its relaxed geometry, as listed in Alexandria via LeMat-Bulk.

It has space group Pm (No. 6), with a = 6.071 Å, b = 3.529 Å, c = 11.425 Å, α = 90.00°, β = 99.88° and γ = 90.00°. The inequivalent atoms are Tb at (0.000, 0.000, 0.000), Tb at (0.158, 0.000, 0.485), Tb at (0.495, 0.500, 0.990), Tb at (0.654, 0.500, 0.499), Y at (0.078, 0.500, 0.743), Y at (0.737, 0.000, 0.243), Sc at (0.243, 0.500, 0.242) and Sc at (0.577, 0.000, 0.744).



Result of the stability comparison: A) is the least stable of them.



A) First-principles (PBE) data for crystalline PRuAu at its relaxed geometry, as listed in Alexandria via LeMat-Bulk.

It has space group P3m1 (No. 156), with a = 3.8190 Å, b = 3.8190 Å, c = 3.8059 Å, α = 90.00°, β = 90.00° and γ = 120.00°. The inequivalent atoms are P at (0.0000, 0.0000, 0.0000), Ru at (0.6667, 0.3333, 0.1230) and Au at (0.3333, 0.6667, 0.5979).



B) First-principles (PBE) data for crystalline PRuAu at its relaxed geometry, as listed in Alexandria via LeMat-Bulk.

It has space group P3m1 (No. 156), with a = 2.9093 Å, b = 2.9093 Å, c = 6.6938 Å, α = 90.00°, β = 90.00° and γ = 120.00°. The inequivalent atoms are P at (0.0000, 0.0000, 0.0000), Ru at (0.6667, 0.3333, 0.2349) and Au at (0.3333, 0.6667, 0.5980).



Result of the stability comparison: B) is the least stable of them.



A) First-principles (PBE) data for crystalline TcIrRh2 at its relaxed geometry, as listed in Alexandria via LeMat-Bulk.

It has space group I4/mmm (No. 139), with a = 3.834 Å, b = 3.834 Å, c = 7.784 Å, α = 90.00°, β = 90.00° and γ = 90.00°. The inequivalent atoms are Tc at (0.000, 0.000, 0.000), Ir at (0.000, 0.000, 0.500) and Rh at (0.000, 0.500, 0.250).



B) First-principles (PBE) data for crystalline TcIrRh2 at its relaxed geometry, as listed in Alexandria via LeMat-Bulk.

It has space group Fm-3m (No. 225), with a = 6.174 Å, b = 6.174 Å, c = 6.174 Å, α = 90.00°, β = 90.00° and γ = 90.00°. The inequivalent atoms are Tc at (0.000, 0.000, 0.000), Ir at (0.000, 0.000, 0.500) and Rh at (0.250, 0.250, 0.250).



Result of the stability comparison: B) is the least stable of them.